The following is a GGA-PBE calculation of a relaxed Si3Te crystal, from Alexandria via LeMat-Bulk.

Geometry as extended XYZ:
```
16
Lattice="-0.023 -0.983 -7.160 -5.384 -4.362 0.617 -4.037 4.889 -0.658" Properties=species:S:1:pos:R:3 pbc="T T T"
Si -7.731 -0.259 -0.813
Si -4.399 -2.122 -4.216
Si -5.045 1.666 -2.986
Si -1.713 -0.197 -6.388
Si -1.895 -1.900 -4.337
Si -4.852 3.859 -1.470
Si -6.369 -2.162 -6.021
Si -5.772 -0.709 -2.575
Si -7.549 1.444 -2.865
Si -4.592 -4.315 -5.731
Si -3.075 1.706 -1.181
Si -3.672 0.253 -4.626
Te -8.069 -1.007 -4.293
Te -4.060 -1.357 -0.611
Te -5.384 0.901 -6.590
Te -1.375 0.551 -2.908
```

Output
energy above the lowest structure with this stoichiometry	0.27	eV per formula unit
electronic total energy	-4.5072	eV per atom
ΔE_f (raw)	0.346	eV/atom

***

The following is a GGA-PBE calculation of a relaxed Tl3Cl crystal, from Alexandria via LeMat-Bulk.

Geometry as extended XYZ:
```
4
Lattice="-2.658 5.598 -1.782 -4.636 4.291 1.295 2.490 3.524 3.099" Properties=species:S:1:pos:R:3 pbc="T T T"
Cl 0.000 0.000 0.000
Tl -2.402 6.707 1.306
Tl -3.436 9.924 2.008
Tl -1.368 3.489 0.603
```

Output
energy above the lowest structure with this stoichiometry	0.08	eV per formula unit
electronic total energy	-2.5931	eV per atom
ΔE_f (raw)	-0.357	eV/atom